Compound: Bi2RhI
Source: the Alexandria database
Functional: PBE-GGA
Structure: optimized geometry

```
Bi2RhI
1.0
4.0162 0.0000 0.0000
2.0081 3.4781 0.0000
2.0081 1.1594 8.2724
Bi I Rh
2 1 1
Direct
0.2722 0.2722 0.1833
0.7278 0.7278 0.8167
0.5000 0.5000 0.5000
0.0000 0.0000 0.0000
```

Results
formation energy from raw total energies: -0.141 eV/atom
DOS(E_F): 0.651 states/eV/atom
E above lowest polymorph: 0 meV/atom